#w
Here is a relaxed CsReS3 crystal from Alexandria. Energies are from GGA-PBE.

Cell: 4.7906 4.7906 4.7906 Å, 90.00 90.00 90.00°
Sites, in units of the cell vectors:
1 Cs 0.0000 0.0000 0.0000
2 Re 0.5000 0.5000 0.5000
3 S 0.0000 0.5000 0.5000
4 S 0.5000 0.0000 0.5000
5 S 0.5000 0.5000 0.0000

Properties
SG = Pm-3m (221)

***

#x
Here is a relaxed CsReS3 crystal from Alexandria. Energies are from GGA-PBE.

Cell: 5.4509 5.4509 5.4509 Å, 90.00 90.00 90.00°
Sites, in units of the cell vectors:
1 Cs 0.0000 0.0000 0.0000
2 Re 0.5000 0.5000 0.5000
3 S 0.0000 0.0000 0.5000
4 S 0.0000 0.5000 0.0000
5 S 0.5000 0.0000 0.0000

Properties
SG = Pm-3m (221)

***

#y
Here is a relaxed CsReS3 crystal from Alexandria. Energies are from GGA-PBE.

Cell: 8.0660 6.0633 15.1222 Å, 90.00 117.27 90.00°
Sites, in units of the cell vectors:
1 Cs 0.1177 0.2324 0.1492
2 Cs 0.1177 0.2676 0.6492
3 Cs 0.8823 0.7324 0.3508
4 Cs 0.8823 0.7676 0.8508
5 Re 0.4276 0.2065 0.4791
6 Re 0.4276 0.2935 0.9791
7 Re 0.5724 0.7065 0.0209
8 Re 0.5724 0.7935 0.5209
9 S 0.1178 0.2236 0.3953
10 S 0.1178 0.2764 0.8953
11 S 0.3994 0.5569 0.5609
12 S 0.3994 0.9431 0.0609
13 S 0.4514 0.5582 0.8697
14 S 0.4514 0.9418 0.3697
15 S 0.5486 0.0582 0.6303
16 S 0.5486 0.4418 0.1303
17 S 0.6006 0.0569 0.9391
18 S 0.6006 0.4431 0.4391
19 S 0.8822 0.7236 0.1047
20 S 0.8822 0.7764 0.6047

Properties
SG = P2_1/c (14)

***

Which of them is most stable? Easy: #y.